1.
A relaxed MgAs4P crystal. Source: Alexandria, functional PBE.

It has space group F-43m (No. 216), with a = 7.833 Å, b = 7.833 Å, c = 7.833 Å, α = 90.00°, β = 90.00° and γ = 90.00°. The asymmetric unit holds Mg at (0.000, 0.000, 0.000), As at (0.125, 0.125, 0.375) and P at (0.250, 0.250, 0.750).

For the formation energy, the calculation gives 43.43 kJ per mole of atoms.



2.
A relaxed MgAs2P crystal. Source: Alexandria, functional PBE.

It has space group F-43m (No. 216), with a = 6.667 Å, b = 6.667 Å, c = 6.667 Å, α = 90.00°, β = 90.00° and γ = 90.00°. The asymmetric unit holds Mg at (0.000, 0.000, 0.000), As at (0.000, 0.000, 0.500), As at (0.250, 0.250, 0.750) and P at (0.250, 0.250, 0.250).

For the formation energy, the calculation gives 23.10 kJ per mole of atoms.



3.
A relaxed MgAs2P crystal. Source: Alexandria, functional PBE.

It has space group I-42d (No. 122), with a = 5.853 Å, b = 5.853 Å, c = 11.801 Å, α = 90.00°, β = 90.00° and γ = 90.00°. The asymmetric unit holds Mg at (0.000, 0.000, 0.000), As at (0.218, 0.250, 0.625) and P at (0.000, 0.000, 0.500).

For the formation energy, the calculation gives 0.34 kJ per mole of atoms.



4.
A relaxed Mg2AsP crystal. Source: Alexandria, functional PBE.

It has space group Fm-3m (No. 225), with a = 6.671 Å, b = 6.671 Å, c = 6.671 Å, α = 90.00°, β = 90.00° and γ = 90.00°. The asymmetric unit holds Mg at (0.250, 0.250, 0.250), As at (0.000, 0.000, 0.000) and P at (0.000, 0.000, 0.500).

For the formation energy, the calculation gives -15.72 kJ per mole of atoms.



5.
A relaxed MgAs2P crystal. Source: Alexandria, functional PBE.

It has space group Pmm2 (No. 25), with a = 3.605 Å, b = 3.798 Å, c = 6.127 Å, α = 90.00°, β = 90.00° and γ = 90.00°. The asymmetric unit holds Mg at (0.000, 0.000, 0.000), As at (0.000, 0.000, 0.453), As at (0.500, 0.500, 0.562) and P at (0.500, 0.500, 0.936).

For the formation energy, the calculation gives -15.10 kJ per mole of atoms.



6.
A relaxed MgAs2P crystal. Source: Alexandria, functional PBE.

It has space group P4mm (No. 99), with a = 3.280 Å, b = 3.280 Å, c = 7.393 Å, α = 90.00°, β = 90.00° and γ = 90.00°. The asymmetric unit holds Mg at (0.000, 0.000, 0.000), As at (0.000, 0.000, 0.401), As at (0.500, 0.500, 0.770) and P at (0.500, 0.500, 0.267).

For the formation energy, the calculation gives 10.01 kJ per mole of atoms.



7.
A relaxed MgAs2P crystal. Source: Alexandria, functional PBE.

It has space group Pmm2 (No. 25), with a = 3.365 Å, b = 3.420 Å, c = 6.862 Å, α = 90.00°, β = 90.00° and γ = 90.00°. The asymmetric unit holds Mg at (0.000, 0.000, 0.000), As at (0.500, 0.000, 0.554), As at (0.500, 0.500, 0.243) and P at (0.500, 0.500, 0.809).

For the formation energy, the calculation gives 4.87 kJ per mole of atoms.



8.
A relaxed MgAs2P crystal. Source: Alexandria, functional PBE.

It has space group I-4m2 (No. 119), with a = 4.461 Å, b = 4.461 Å, c = 7.438 Å, α = 90.00°, β = 90.00° and γ = 90.00°. The asymmetric unit holds Mg at (0.000, 0.000, 0.000), As at (0.000, 0.000, 0.500), As at (0.000, 0.500, 0.250) and P at (0.000, 0.500, 0.750).

For the formation energy, the calculation gives 21.09 kJ per mole of atoms.



| no. | DFT total energy (eV for the cell shown) | volume (Å³/cell) |
| --- | --- | --- |
| 1 | -91.6 | 481 |
| 2 | -61.4 | 296 |
| 3 | -65.2 | 404 |
| 4 | -55.6 | 297 |
| 5 | -16.9 | 84 |
| 6 | -15.9 | 80 |
| 7 | -16.1 | 79 |
| 8 | -30.9 | 148 |